# PBE-GGA Ac3Zn2RuO9, relaxed
data_Ac3Zn2RuO9
_cell_length_a 5.7342
_cell_length_b 5.7342
_cell_length_c 7.0040
_cell_angle_alpha 90.00
_cell_angle_beta 90.00
_cell_angle_gamma 120.00
_symmetry_space_group_name_H-M 'P -3 m 1'
_symmetry_Int_Tables_number 164
_symmetry_space_group_name_Hall '-P 3 2"'
loop_
_atom_site_label
_atom_site_type_symbol
_atom_site_fract_x
_atom_site_fract_y
_atom_site_fract_z
Ac1 Ac 0.0000 0.0000 0.0000
Ac2 Ac 0.3333 0.6667 0.7004
Zn1 Zn 0.3333 0.6667 0.1680
Ru1 Ru 0.0000 0.0000 0.5000
O1 O 0.0000 0.5000 0.0000
O2 O 0.1601 0.3203 0.3354
# Crystal system: trigonal


# PBE-GGA Ac2ZnRuO6, relaxed
data_Ac2ZnRuO6
_cell_length_a 8.0780
_cell_length_b 8.0780
_cell_length_c 8.0780
_cell_angle_alpha 90.00
_cell_angle_beta 90.00
_cell_angle_gamma 90.00
_symmetry_space_group_name_H-M 'F m -3 m'
_symmetry_Int_Tables_number 225
_symmetry_space_group_name_Hall '-F 4 2 3'
loop_
_atom_site_label
_atom_site_type_symbol
_atom_site_fract_x
_atom_site_fract_y
_atom_site_fract_z
Ac1 Ac 0.2500 0.2500 0.2500
Zn1 Zn 0.0000 0.0000 0.0000
Ru1 Ru 0.0000 0.0000 0.5000
O1 O 0.0000 0.0000 0.2530
# Crystal system: cubic


| no. | formation energy from raw total energies (eV per formula unit) |
| --- | --- |
| 1 | -33.76 |
| 2 | -22.25 |